{"formula": "CsMnNO2", "functional": "GGA+U", "state": "relaxed", "cell": [[4.4136, 0.0000, 0.0000], [0.0000, 4.4136, 0.0000], [0.0000, 0.0000, 4.3918]], "species": ["O", "O", "Mn", "Cs", "N"], "frac_coords": [[0.5000, 0.0000, 0.0000], [0.0000, 0.5000, 0.0000], [0.5000, 0.5000, 0.5000], [0.0000, 0.0000, 0.0000], [0.0000, 0.0000, 0.5000]], "dft_energy_ev_per_atom": -3.858}